# 1
An optimized crystal structure of KPa6Te12, computed with GGA-PBE.

Summary:
As for the theoretical density: 7.4 g/cm3. The raw total energy is -5.7425 eV per atom.

Cell: 9.191 9.191 9.191 Å, 106.17 106.17 106.17°
Fractional positions:
Pa1 0.326 0.731 0.731
Te1 0.838 0.580 0.580
Pa2 0.731 0.326 0.731
Pa3 0.269 0.674 0.269
Te2 0.875 0.125 0.500
Te3 0.420 0.162 0.420
Te4 0.125 0.500 0.875
Pa4 0.269 0.269 0.674
K1 0.000 0.000 0.000
Pa5 0.731 0.731 0.326
Pa6 0.674 0.269 0.269
Te5 0.125 0.875 0.500
Te6 0.162 0.420 0.420
Te7 0.875 0.500 0.125
Te8 0.420 0.420 0.162
Te9 0.500 0.875 0.125
Te10 0.500 0.125 0.875
Te11 0.580 0.838 0.580
Te12 0.580 0.580 0.838

=====

# 2
An optimized crystal structure of K2Pa3Te8, computed with GGA-PBE.

Summary:
As for the theoretical density: 6.0 g/cm3. The raw total energy is -5.1466 eV per atom.

Cell: 5.166 10.930 10.326 Å, 121.95 90.00 90.00°
Fractional positions:
Te1 0.000 0.099 0.198
Pa1 0.000 0.283 0.000
Te2 0.000 0.901 0.802
Te3 0.500 0.340 0.204
Te4 0.000 0.393 0.785
Pa2 0.500 0.000 0.000
Te5 0.000 0.607 0.215
Te6 0.500 0.865 0.204
Pa3 0.000 0.717 0.000
K1 0.500 0.257 0.513
Te7 0.500 0.135 0.796
Te8 0.500 0.660 0.796
K2 0.500 0.743 0.487

=====

| no. | formation energy without anion corrections (eV per atom) | total moment (μB per formula unit) |
| --- | --- | --- |
| 1 | -0.70 | 7.1 |
| 2 | -0.85 | 1.0 |